(1)
! ScNb | OQMD | PBE-GGA | optimized geometry; values from VASP
! Crystal system ... hexagonal
! Total moment ... 0.01 μB/f.u.
&SYSTEM
  ibrav = 0, nat = 4, ntyp = 2
/
ATOMIC_SPECIES
Nb 92.91 Nb.upf
Sc 44.96 Sc.upf
ATOMIC_POSITIONS crystal
Nb 0.000 0.000 0.000
Nb 0.000 0.000 0.500
Sc 0.333 0.667 0.250
Sc 0.667 0.333 0.750
CELL_PARAMETERS angstrom
-4.468 1.251 0.218
1.415 -3.005 -3.248
-0.909 -3.787 3.108

=====

(2)
! ScNb | OQMD | PBE-GGA | optimized geometry; values from VASP
! Crystal system ... cubic
! Total moment ... 0.06 μB/f.u.
&SYSTEM
  ibrav = 0, nat = 2, ntyp = 2
/
ATOMIC_SPECIES
Nb 92.91 Nb.upf
Sc 44.96 Sc.upf
ATOMIC_POSITIONS crystal
Nb 0.000 0.000 0.000
Sc 0.500 0.500 0.500
CELL_PARAMETERS angstrom
0.000 2.780 2.780
2.780 0.000 2.780
2.780 2.780 0.000

=====

(3)
! ScNb | OQMD | PBE-GGA | optimized geometry; values from VASP
! Crystal system ... cubic
! Total moment ... 4.05 μB/f.u.
&SYSTEM
  ibrav = 0, nat = 2, ntyp = 2
/
ATOMIC_SPECIES
Nb 92.91 Nb.upf
Sc 44.96 Sc.upf
ATOMIC_POSITIONS crystal
Nb 0.000 0.000 0.000
Sc 0.250 0.250 0.250
CELL_PARAMETERS angstrom
0.000 3.138 3.138
3.138 0.000 3.138
3.138 3.138 0.000

=====

(4)
! ScNb | OQMD | PBE-GGA | optimized geometry; values from VASP
! Crystal system ... cubic
! Total moment ... 0.01 μB/f.u.
&SYSTEM
  ibrav = 0, nat = 2, ntyp = 2
/
ATOMIC_SPECIES
Nb 92.91 Nb.upf
Sc 44.96 Sc.upf
ATOMIC_POSITIONS crystal
Nb 0.000 0.000 0.000
Sc 0.500 0.500 0.500
CELL_PARAMETERS angstrom
3.409 0.000 0.000
0.000 3.409 0.000
0.000 0.000 3.409

=====

It is (4) that is most stable; the runner-up trails by 47.8 kJ/mol of atoms.